[1]
VASP calculation (PBE) on crystalline Sr4Cu3Pd at its relaxed geometry.

## Properties
Energy relative to the elements (eV per atom): -0.23
DOS(E_F) (states/eV/f.u.): 4.5

Unit cell a=4.4130 b=4.4506 c=11.5826 alpha=90.00 beta=90.00 gamma=90.00
Fractional positions:
Sr 0.0000 0.0000 0.0000
Sr 0.0000 0.5000 0.2724
Sr 0.5000 0.0000 0.4896
Sr 0.5000 0.5000 0.7749
Cu 0.0000 0.0000 0.6864
Cu 0.0000 0.5000 0.5791
Cu 0.5000 0.5000 0.0727
Pd 0.5000 0.0000 0.1982

[2]
VASP calculation (PBE) on crystalline SrCuPd4 at its relaxed geometry.

## Properties
Energy relative to the elements (eV per atom): -0.20
DOS(E_F) (states/eV/f.u.): 8.3

Unit cell a=5.4062 b=5.4062 c=5.4062 alpha=60.00 beta=60.00 gamma=60.00
Fractional positions:
Sr 0.0000 0.0000 0.0000
Cu 0.2500 0.2500 0.2500
Pd 0.1268 0.6244 0.6244
Pd 0.6244 0.1268 0.6244
Pd 0.6244 0.6244 0.1268
Pd 0.6244 0.6244 0.6244

[3]
VASP calculation (PBE) on crystalline Sr2CuPd2 at its relaxed geometry.

## Properties
Energy relative to the elements (eV per atom): -0.27
DOS(E_F) (states/eV/f.u.): 2.0

Unit cell a=5.6814 b=5.6814 c=5.6814 alpha=117.78 beta=117.78 gamma=93.90
Fractional positions:
Sr 0.2500 0.7500 0.5000
Sr 0.7500 0.2500 0.5000
Cu 0.0000 0.0000 0.0000
Pd 0.3291 0.3291 0.0000
Pd 0.6709 0.6709 0.0000

[4]
VASP calculation (PBE) on crystalline SrCu2Pd at its relaxed geometry.

## Properties
Energy relative to the elements (eV per atom): -0.26
DOS(E_F) (states/eV/f.u.): 1.3

Unit cell a=4.3114 b=6.6094 c=5.7831 alpha=90.00 beta=90.00 gamma=90.00
Fractional positions:
Sr 0.2500 0.2500 0.1186
Sr 0.7500 0.7500 0.8814
Cu 0.2500 0.0541 0.6004
Cu 0.2500 0.4459 0.6004
Cu 0.7500 0.5541 0.3996
Cu 0.7500 0.9459 0.3996
Pd 0.2500 0.7500 0.3120
Pd 0.7500 0.2500 0.6880